No. 1
The following is a PBE calculation of YScHg after structural relaxation, from Alexandria via LeMat-Bulk.

ΔE to the lowest computed polymorph, meV per atom: 31
Energy, eV/atom: -4.692
Total magnetic moment, μB per formula unit: 0.00

a b c (Å): 16.505 4.907 3.850
angles (deg): 90.00 98.48 90.00
Space group C2/m (No. 12)
One atom of each set of equivalent atoms:
Y (0.176, 0.000, 0.137) (multiplicity 4)
Sc (0.000, 0.000, 0.500) (multiplicity 2)
Sc (0.000, 0.500, 0.000) (multiplicity 2)
Hg (0.135, 0.500, 0.593) (multiplicity 4)



No. 2
The following is a PBE calculation of YScHg after structural relaxation, from Alexandria via LeMat-Bulk.

ΔE to the lowest computed polymorph, meV per atom: 374
Energy, eV/atom: -4.349
Total magnetic moment, μB per formula unit: 0.00

a b c (Å): 5.1582 5.1582 6.2174
angles (deg): 90.00 90.00 120.00
Space group P6_3/mmc (No. 194)
One atom of each set of equivalent atoms:
Y (0.3333, 0.6667, 0.2500) (multiplicity 2)
Sc (0.3333, 0.6667, 0.7500) (multiplicity 2)
Hg (0.0000, 0.0000, 0.0000) (multiplicity 2)



No. 3
The following is a PBE calculation of Y4ScHg2 after structural relaxation, from Alexandria via LeMat-Bulk.

Energy, eV/atom: -4.721
Total magnetic moment, μB per formula unit: 0.00

a b c (Å): 5.3818 5.3818 25.5951
angles (deg): 90.00 90.00 120.00
Space group R-3m (No. 166, hexagonal axes)
One atom of each set of equivalent atoms:
Y (0.0000, 0.0000, 0.1301) (multiplicity 6)
Y (0.0000, 0.0000, 0.2723) (multiplicity 6)
Sc (0.0000, 0.0000, 0.5000) (multiplicity 3)
Hg (0.0000, 0.0000, 0.3908) (multiplicity 6)



No. 4
The following is a PBE calculation of YSc3Hg4 after structural relaxation, from Alexandria via LeMat-Bulk.

Energy, eV/atom: -3.774
Total magnetic moment, μB per formula unit: 0.49

a b c (Å): 10.041 7.254 5.020
angles (deg): 90.00 90.00 90.00
Space group Pmma (No. 51)
One atom of each set of equivalent atoms:
Y (0.000, 0.000, 0.000) (multiplicity 2)
Sc (0.000, 0.500, 0.000) (multiplicity 2)
Sc (0.250, 0.000, 0.499) (multiplicity 2)
Sc (0.250, 0.500, 0.499) (multiplicity 2)
Hg (0.000, 0.263, 0.500) (multiplicity 4)
Hg (0.250, 0.263, 0.999) (multiplicity 4)



No. 5
The following is a PBE calculation of YSc2Hg2 after structural relaxation, from Alexandria via LeMat-Bulk.

ΔE to the lowest computed polymorph, meV per atom: 105
Energy, eV/atom: -4.202
Total magnetic moment, μB per formula unit: 0.55

a b c (Å): 8.544 8.544 3.259
angles (deg): 90.00 90.00 90.00
Space group P4/mbm (No. 127)
One atom of each set of equivalent atoms:
Y (0.000, 0.000, 0.000) (multiplicity 2)
Sc (0.126, 0.374, 0.000) (multiplicity 4)
Hg (0.175, 0.675, 0.500) (multiplicity 4)



No. 6
The following is a PBE calculation of YScHg after structural relaxation, from Alexandria via LeMat-Bulk.

ΔE to the lowest computed polymorph, meV per atom: 95
Energy, eV/atom: -4.628
Total magnetic moment, μB per formula unit: 0.00

a b c (Å): 5.137 3.685 8.399
angles (deg): 90.00 107.74 90.00
Space group Pm (No. 6)
One atom of each set of equivalent atoms:
Y (0.000, 0.000, 0.000) (multiplicity 1)
Y (0.331, 0.000, 0.661) (multiplicity 1)
Sc (0.514, 0.500, 0.028) (multiplicity 1)
Sc (0.680, 0.000, 0.356) (multiplicity 1)
Hg (0.159, 0.500, 0.314) (multiplicity 1)
Hg (0.845, 0.500, 0.690) (multiplicity 1)



No. 7
The following is a PBE calculation of Y4ScHg after structural relaxation, from Alexandria via LeMat-Bulk.

ΔE to the lowest computed polymorph, meV per atom: 352
Energy, eV/atom: -5.101
Total magnetic moment, μB per formula unit: 0.00

a b c (Å): 8.951 8.951 8.951
angles (deg): 90.00 90.00 90.00
Space group F-43m (No. 216)
One atom of each set of equivalent atoms:
Y (0.124, 0.124, 0.376) (multiplicity 16)
Sc (0.250, 0.250, 0.750) (multiplicity 4)
Hg (0.000, 0.000, 0.000) (multiplicity 4)



No. 8
The following is a PBE calculation of YScHg3 after structural relaxation, from Alexandria via LeMat-Bulk.

ΔE to the lowest computed polymorph, meV per atom: 590
Energy, eV/atom: -2.528
Total magnetic moment, μB per formula unit: 0.00

a b c (Å): 5.293 5.293 5.293
angles (deg): 90.00 90.00 90.00
Space group Pm-3m (No. 221)
One atom of each set of equivalent atoms:
Y (0.000, 0.000, 0.000) (multiplicity 1)
Sc (0.500, 0.500, 0.500) (multiplicity 1)
Hg (0.000, 0.500, 0.500) (multiplicity 3)



No. 9
The following is a PBE calculation of YScHg after structural relaxation, from Alexandria via LeMat-Bulk.

ΔE to the lowest computed polymorph, meV per atom: 257
Energy, eV/atom: -4.467
Total magnetic moment, μB per formula unit: 0.00

a b c (Å): 7.013 7.013 7.013
angles (deg): 90.00 90.00 90.00
Space group F-43m (No. 216)
One atom of each set of equivalent atoms:
Y (0.000, 0.000, 0.000) (multiplicity 4)
Sc (0.000, 0.000, 0.500) (multiplicity 4)
Hg (0.250, 0.250, 0.750) (multiplicity 4)



No. 10
The following is a PBE calculation of YScHg3 after structural relaxation, from Alexandria via LeMat-Bulk.

ΔE to the lowest computed polymorph, meV per atom: 932
Energy, eV/atom: -2.186
Total magnetic moment, μB per formula unit: 1.35

a b c (Å): 5.601 5.601 5.601
angles (deg): 90.00 90.00 90.00
Space group Pm-3m (No. 221)
One atom of each set of equivalent atoms:
Y (0.000, 0.000, 0.000) (multiplicity 1)
Sc (0.500, 0.500, 0.500) (multiplicity 1)
Hg (0.000, 0.000, 0.500) (multiplicity 3)



No. 11
The following is a PBE calculation of YScHg after structural relaxation, from Alexandria via LeMat-Bulk.

ΔE to the lowest computed polymorph, meV per atom: 73
Energy, eV/atom: -4.651
Total magnetic moment, μB per formula unit: 1.18

a b c (Å): 3.557 3.557 12.132
angles (deg): 90.00 90.00 90.00
Space group I4mm (No. 107)
One atom of each set of equivalent atoms:
Y (0.000, 0.000, 0.000) (multiplicity 2)
Sc (0.000, 0.000, 0.691) (multiplicity 2)
Hg (0.000, 0.000, 0.329) (multiplicity 2)



No. 12
The following is a PBE calculation of YScHg after structural relaxation, from Alexandria via LeMat-Bulk.

ΔE to the lowest computed polymorph, meV per atom: 88
Energy, eV/atom: -4.636
Total magnetic moment, μB per formula unit: 1.07

a b c (Å): 7.643 3.468 11.524
angles (deg): 90.00 90.00 90.00
Space group Pnma (No. 62)
One atom of each set of equivalent atoms:
Y (0.155, 0.250, 0.088) (multiplicity 4)
Sc (0.090, 0.250, 0.394) (multiplicity 4)
Hg (0.132, 0.250, 0.783) (multiplicity 4)



DOS at the Fermi energy / states/eV/f.u.: 3.0, 3.5, 12.1, 7.4, 5.6, 3.7, 5.7, 5.4, 2.9, 6.2, 3.3, 3.3